Cs2ZnC4N4 | PBE-GGA | optimized geometry

Summary:
* volume: 23.49 Å³/atom
* final energy: -6.776 eV per atom

Lattice parameters (Å, degrees): 8.4818 8.4818 8.4199 106.05 106.05 64.52
Element x y z (fractional)
C  0.3676  0.7537  0.6114
C  0.8273  0.9518  0.1026
C  0.9518  0.8273  0.6026
C  0.0482  0.1727  0.3974
C  0.1727  0.0482  0.8974
C  0.7537  0.3676  0.1114
C  0.2463  0.6324  0.8886
C  0.6324  0.2463  0.3886
Zn  0.8154  0.1846  0.2500
Zn  0.1846  0.8154  0.7500
N  0.5251  0.2755  0.4672
N  0.8169  0.8248  0.5185
N  0.8248  0.8169  0.0185
N  0.1752  0.1831  0.9815
N  0.4749  0.7245  0.5328
N  0.2756  0.5251  0.9672
N  0.1831  0.1752  0.4815
N  0.7245  0.4749  0.0328
Cs  0.1415  0.5100  0.2715
Cs  0.4900  0.8585  0.2285
Cs  0.5100  0.1415  0.7715
Cs  0.8585  0.4900  0.7285